# Np2Fe5Si3

A geometry-optimized Np2Fe5Si3 structure (PBE, the Alexandria database).

a = 3.9140 Å, b = 6.0192 Å, c = 11.9410 Å
α = 90.00°, β = 99.43°, γ = 90.00°
Last column: nearest neighbours and their distance in Å.
Sites, in units of the cell vectors:
1 Np 0.5087 0.2497 0.0173  5 Fe 2.67-2.98, 5 Si 2.79-2.88
2 Si 0.7721 0.7356 0.5441  7 Fe 2.29-2.38
3 Fe 0.9451 0.0775 0.8903  3 Si 2.41-2.47, 2 Np 2.67, 1 Fe 2.68
4 Si 0.0599 0.9779 0.1198  4 Fe 2.32-2.41
5 Fe 0.7099 0.4352 0.4198  4 Si 2.30-2.34, 1 Fe 2.45
6 Fe 0.2950 0.5281 0.5900  3 Si 2.37-2.38, 2 Fe 2.41-2.45
7 Np 0.1763 0.7450 0.3526  7 Fe 2.68-2.92, 4 Si 2.96-2.99
8 Fe 0.8691 0.7463 0.7382  4 Si 2.29-2.42
9 Si 0.3872 0.9722 0.7745  6 Fe 2.30-2.56
10 Fe 0.1309 0.2463 0.2618  4 Si 2.29-2.42
11 Fe 0.2901 0.9352 0.5802  4 Si 2.30-2.34, 1 Fe 2.45
12 Fe 0.7050 0.0281 0.4100  3 Si 2.37-2.38, 2 Fe 2.41-2.45
13 Np 0.8237 0.2450 0.6474  7 Fe 2.68-2.92, 4 Si 2.96-2.99
14 Si 0.2279 0.2356 0.4559  7 Fe 2.29-2.38
15 Si 0.9401 0.4779 0.8802  4 Fe 2.32-2.41
16 Si 0.6128 0.4722 0.2255  6 Fe 2.30-2.56
17 Fe 0.0549 0.5775 0.1097  3 Si 2.41-2.47, 2 Np 2.67, 1 Fe 2.68
18 Fe 0.6084 0.8972 0.2168  3 Si 2.32-2.56, 1 Fe 2.41
19 Np 0.4913 0.7497 0.9827  5 Fe 2.67-2.98, 5 Si 2.79-2.88
20 Fe 0.3916 0.3972 0.7832  3 Si 2.32-2.56, 1 Fe 2.41

Computed properties:
Its uncorrected formation energy is -224 kJ/mol of formula units. Its calculated total energy is -86.785 eV per formula unit. Its space group is Cmc2_1 (36). The crystal system is orthorhombic.


# Np3Fe2Si7

A geometry-optimized Np3Fe2Si7 structure (PBE, the Alexandria database).

a = 4.0307 Å, b = 3.9870 Å, c = 12.3045 Å
α = 99.11°, β = 90.00°, γ = 90.00°
Last column: nearest neighbours and their distance in Å.
Sites, in units of the cell vectors:
1 Fe 0.5000 0.6225 0.2544  5 Si 2.24-2.29
2 Si 0.0000 0.4115 0.8284  2 Fe 2.25
3 Si 0.5000 0.7222 0.4426  1 Fe 2.29, 2 Si 2.43-2.44
4 Np 0.0000 0.8135 0.6321  10 Si 2.97-3.13, 4 Fe 3.13-3.17
5 Si 0.0000 0.5885 0.1716  2 Fe 2.25
6 Si 0.5000 0.0825 0.1705  2 Fe 2.24
7 Si 0.5000 0.2778 0.5574  1 Fe 2.29, 2 Si 2.43-2.44
8 Si 0.0000 0.0000 0.0000  4 Np 2.83, 8 Si 2.87-2.90
9 Si 0.5000 0.9175 0.8295  2 Fe 2.24
10 Np 0.5000 0.5000 0.0000  12 Si 2.83-2.90, 2 Fe 3.09
11 Fe 0.5000 0.3775 0.7456  5 Si 2.24-2.29
12 Np 0.0000 0.1865 0.3679  10 Si 2.97-3.13, 4 Fe 3.13-3.17

Computed properties:
Its uncorrected formation energy is -411 kJ/mol of formula units. Its calculated total energy is -97.969 eV per formula unit. Its space group is P2/m (10). The crystal system is monoclinic.


# NpFeSi2

A geometry-optimized NpFeSi2 structure (PBE, the Alexandria database).

a = 2.7503 Å, b = 2.7503 Å, c = 8.8327 Å
α = 81.04°, β = 81.04°, γ = 60.00°
Last column: nearest neighbours and their distance in Å.
Sites, in units of the cell vectors:
1 Si 0.7347 0.7347 0.7958  3 Fe 2.38
2 Fe 0.0000 0.0000 0.0000  6 Si 2.38
3 Si 0.2653 0.2653 0.2042  3 Fe 2.38
4 Np 0.5000 0.5000 0.5000  6 Np 2.75, 6 Si 3.02

Computed properties:
Its uncorrected formation energy is -20 kJ/mol of formula units. Its calculated total energy is -32.459 eV per formula unit. Its space group is R-3m (166). The crystal system is trigonal.


# NpFe3Si3

A geometry-optimized NpFe3Si3 structure (PBE, the Alexandria database).

a = 6.2639 Å, b = 6.2639 Å, c = 6.2639 Å
α = 90.00°, β = 90.00°, γ = 90.00°
Last column: nearest neighbours and their distance in Å.
Sites, in units of the cell vectors:
1 Fe 0.0000 0.5000 0.2500  4 Si 2.21
2 Fe 0.5000 0.7500 0.0000  4 Si 2.21
3 Fe 0.0000 0.5000 0.7500  4 Si 2.21
4 Si 0.0000 0.7500 0.5000  4 Fe 2.21
5 Si 0.5000 0.0000 0.7500  4 Fe 2.21
6 Np 0.5000 0.5000 0.5000  12 Fe 3.50, 12 Si 3.50
7 Si 0.7500 0.5000 0.0000  4 Fe 2.21
8 Fe 0.7500 0.0000 0.5000  4 Si 2.21
9 Fe 0.5000 0.2500 0.0000  4 Si 2.21
10 Si 0.5000 0.0000 0.2500  4 Fe 2.21
11 Np 0.0000 0.0000 0.0000  12 Fe 3.50, 12 Si 3.50
12 Si 0.0000 0.2500 0.5000  4 Fe 2.21
13 Fe 0.2500 0.0000 0.5000  4 Si 2.21
14 Si 0.2500 0.5000 0.0000  4 Fe 2.21

Computed properties:
Its uncorrected formation energy is 189 kJ/mol of formula units. Its calculated total energy is -52.643 eV per formula unit. Its space group is Pm-3n (223). The crystal system is cubic.


# Np4FeSi8

A geometry-optimized Np4FeSi8 structure (PBE, the Alexandria database).

a = 3.8571 Å, b = 4.0916 Å, c = 14.7922 Å
α = 90.00°, β = 90.00°, γ = 90.00°
Last column: nearest neighbours and their distance in Å.
Sites, in units of the cell vectors:
1 Fe 0.0000 0.0000 0.3070  5 Si 2.23-2.32
2 Si 0.5000 0.0000 0.5623  2 Si 2.44
3 Si 0.5000 0.5000 0.0553  2 Si 2.56, 4 Np 2.86
4 Si 0.5000 0.5000 0.7591  4 Si 2.81, 4 Np 2.94-2.95
5 Np 0.0000 0.5000 0.6089  10 Si 2.89-2.99
6 Np 0.5000 0.0000 0.9031  10 Si 2.87-3.04
7 Si 0.0000 0.5000 0.9417  2 Si 2.56
8 Si 0.0000 0.0000 0.4611  1 Fe 2.28, 2 Si 2.44
9 Si 0.0000 0.0000 0.7542  4 Si 2.81, 4 Np 2.93-2.97
10 Si 0.0000 0.5000 0.2326  2 Fe 2.32
11 Np 0.5000 0.5000 0.3970  10 Si 2.97-3.20, 4 Fe 3.11
12 Np 0.0000 0.0000 0.0901  10 Si 2.84-3.00
13 Si 0.5000 0.0000 0.2306  2 Fe 2.23

Computed properties:
Its uncorrected formation energy is -215 kJ/mol of formula units. Its calculated total energy is -105.841 eV per formula unit. Its space group is Pmm2 (25). The crystal system is orthorhombic.


# NpFe4Si2

A geometry-optimized NpFe4Si2 structure (PBE, the Alexandria database).

a = 3.5452 Å, b = 3.5452 Å, c = 8.1111 Å
α = 102.62°, β = 102.62°, γ = 90.00°
Last column: nearest neighbours and their distance in Å.
Sites, in units of the cell vectors:
1 Fe 0.1366 0.1366 0.2731  1 Np 2.11
2 Fe 0.2500 0.7500 0.5000  4 Si 2.46, 8 Fe 2.49-2.51
3 Si 0.6398 0.6398 0.2797  8 Fe 2.46-2.51
4 Fe 0.8634 0.8634 0.7269  1 Np 2.11
5 Si 0.3602 0.3602 0.7203  8 Fe 2.46-2.51
6 Np 0.0000 0.0000 0.0000  2 Fe 2.11
7 Fe 0.7500 0.2500 0.5000  4 Si 2.46, 8 Fe 2.49-2.51

Computed properties:
Its uncorrected formation energy is -95 kJ/mol of formula units. Its calculated total energy is -58.623 eV per formula unit. Its space group is I4/mmm (139). The crystal system is tetragonal.


# NpFe12Si6

A geometry-optimized NpFe12Si6 structure (PBE, the Alexandria database).

a = 6.5561 Å, b = 6.5561 Å, c = 6.5561 Å
α = 104.84°, β = 104.84°, γ = 104.84°
Last column: nearest neighbours and their distance in Å.
Sites, in units of the cell vectors:
1 Fe 0.8346 0.5676 0.5676  3 Si 2.34-2.46, 2 Fe 2.61
2 Si 0.2472 0.7113 0.2472  7 Fe 2.21-2.46
3 Si 0.2472 0.2472 0.7113  7 Fe 2.21-2.46
4 Fe 0.5676 0.8346 0.5676  3 Si 2.34-2.46, 2 Fe 2.61
5 Fe 0.1654 0.4324 0.4324  3 Si 2.34-2.46, 2 Fe 2.61
6 Fe 0.1213 0.8787 0.5000  4 Si 2.21-2.26
7 Si 0.7528 0.2887 0.7528  7 Fe 2.21-2.46
8 Fe 0.5676 0.5676 0.8346  3 Si 2.34-2.46, 2 Fe 2.61
9 Np 0.0000 0.0000 0.0000  18 Fe 3.16-3.51, 6 Si 3.26
10 Fe 0.8787 0.1213 0.5000  4 Si 2.21-2.26
11 Fe 0.5000 0.1213 0.8787  4 Si 2.21-2.26
12 Fe 0.4324 0.4324 0.1654  3 Si 2.34-2.46, 2 Fe 2.61
13 Si 0.7113 0.2472 0.2472  7 Fe 2.21-2.46
14 Si 0.7528 0.7528 0.2887  7 Fe 2.21-2.46
15 Fe 0.1213 0.5000 0.8787  4 Si 2.21-2.26
16 Fe 0.5000 0.8787 0.1213  4 Si 2.21-2.26
17 Fe 0.8787 0.5000 0.1213  4 Si 2.21-2.26
18 Fe 0.4324 0.1654 0.4324  3 Si 2.34-2.46, 2 Fe 2.61
19 Si 0.2887 0.7528 0.7528  7 Fe 2.21-2.46

Computed properties:
Its uncorrected formation energy is -255 kJ/mol of formula units. Its calculated total energy is -149.669 eV per formula unit. Its space group is R-3m (166). The crystal system is trigonal.


# Np2Fe12Si7

A geometry-optimized Np2Fe12Si7 structure (PBE, the Alexandria database).

a = 3.6721 Å, b = 9.1963 Å, c = 9.1963 Å
α = 120.00°, β = 90.00°, γ = 90.00°
Last column: nearest neighbours and their distance in Å.
Sites, in units of the cell vectors:
1 Fe 0.5000 0.7040 0.0934  4 Si 2.33-2.38, 3 Fe 2.57-2.59
2 Fe 0.5000 0.9066 0.6107  4 Si 2.33-2.38, 3 Fe 2.57-2.59
3 Fe 0.0000 0.4817 0.9495  4 Si 2.25-2.29
4 Si 0.5000 0.6339 0.5666  7 Fe 2.29-2.38
5 Fe 0.0000 0.2733 0.0535  4 Si 2.28-2.34, 1 Fe 2.53
6 Fe 0.0000 0.4678 0.5183  4 Si 2.25-2.29
7 Fe 0.0000 0.9465 0.2199  4 Si 2.28-2.34, 1 Fe 2.53
8 Fe 0.5000 0.2234 0.4546  5 Si 2.37-2.49, 1 Fe 2.59
9 Fe 0.5000 0.2312 0.7766  5 Si 2.37-2.49, 1 Fe 2.59
10 Si 0.0000 0.2178 0.2753  7 Fe 2.27-2.45
11 Si 0.0000 0.3333 0.6667  9 Fe 2.25-2.49
12 Si 0.5000 0.9327 0.3661  7 Fe 2.29-2.38
13 Si 0.0000 0.7247 0.9425  7 Fe 2.27-2.45
14 Np 0.0000 0.6667 0.3333  6 Si 2.95, 12 Fe 3.02-3.22
15 Fe 0.0000 0.7801 0.7267  4 Si 2.28-2.34, 1 Fe 2.53
16 Fe 0.5000 0.5454 0.7688  5 Si 2.37-2.49, 1 Fe 2.59
17 Fe 0.0000 0.0505 0.5322  4 Si 2.25-2.29
18 Si 0.0000 0.0575 0.7822  7 Fe 2.27-2.45
19 Fe 0.5000 0.3893 0.2960  4 Si 2.33-2.38, 3 Fe 2.57-2.59
20 Si 0.5000 0.4334 0.0673  7 Fe 2.29-2.38
21 Np 0.5000 0.0000 0.0000  9 Fe 2.95-3.24, 6 Si 2.95

Computed properties:
Its uncorrected formation energy is -652 kJ/mol of formula units. Its calculated total energy is -172.154 eV per formula unit. Its space group is P-6 (174). The crystal system is hexagonal.


# Sm3Np2Fe4

A geometry-optimized Sm3Np2Fe4 structure (PBE, the Alexandria database).

a = 4.0104 Å, b = 5.8879 Å, c = 8.4983 Å
α = 103.31°, β = 90.00°, γ = 109.91°
Last column: nearest neighbours and their distance in Å.
Sites, in units of the cell vectors:
1 Sm 0.6254 0.2508 0.3799  6 Fe 3.02-3.21, 2 Np 3.23-3.32
2 Sm 0.3746 0.7492 0.6201  6 Fe 3.02-3.21, 2 Np 3.23-3.32
3 Np 0.3286 0.6572 0.2196  5 Fe 2.38-2.54
4 Sm 0.0000 0.0000 0.0000  8 Fe 3.19-3.40
5 Fe 0.0897 0.1795 0.6450  2 Np 2.38, 1 Fe 2.59
6 Np 0.6714 0.3428 0.7804  5 Fe 2.38-2.54
7 Fe 0.2642 0.5284 0.9113  3 Np 2.40-2.54, 3 Fe 2.57-2.59
8 Fe 0.7358 0.4716 0.0887  3 Np 2.40-2.54, 3 Fe 2.57-2.59
9 Fe 0.9103 0.8205 0.3550  2 Np 2.38, 1 Fe 2.59

Computed properties:
Its calculated total energy is -74.137 eV per formula unit. Its space group is C2/m (12). The value obtained for the energy of formation is -0.247 eV/f.u. The crystal system is monoclinic.


# SmNpFe

A geometry-optimized SmNpFe structure (PBE, the Alexandria database).

a = 5.9551 Å, b = 6.6295 Å, c = 7.1379 Å
α = 90.00°, β = 113.10°, γ = 90.00°
Last column: nearest neighbours and their distance in Å.
Sites, in units of the cell vectors:
1 Sm 0.1894 0.3630 0.4381  4 Fe 2.97-3.18, 4 Np 3.13-3.30, 1 Sm 3.28
2 Sm 0.3106 0.8630 0.0619  4 Fe 2.97-3.18, 4 Np 3.13-3.30, 1 Sm 3.28
3 Sm 0.8106 0.6370 0.5619  4 Fe 2.97-3.18, 4 Np 3.13-3.30, 1 Sm 3.28
4 Fe 0.9951 0.9163 0.3290  1 Np 2.11
5 Np 0.3622 0.8981 0.5383  1 Fe 2.11, 1 Np 2.35
6 Fe 0.4951 0.5837 0.8290  1 Np 2.11
7 Fe 0.5049 0.4163 0.1710  1 Np 2.11
8 Np 0.6378 0.1019 0.4617  1 Fe 2.11, 1 Np 2.35
9 Np 0.8622 0.6019 0.0383  1 Fe 2.11, 1 Np 2.35
10 Np 0.1378 0.3981 0.9617  1 Fe 2.11, 1 Np 2.35
11 Sm 0.6894 0.1370 0.9381  4 Fe 2.97-3.18, 4 Np 3.13-3.30, 1 Sm 3.28
12 Fe 0.0049 0.0837 0.6710  1 Np 2.11

Computed properties:
Its calculated total energy is -25.415 eV per formula unit. Its space group is P2_1/c (14). The value obtained for the energy of formation is 0.708 eV/f.u. The crystal system is monoclinic.


# SmNp2Fe9

A geometry-optimized SmNp2Fe9 structure (PBE, the Alexandria database).

a = 4.8509 Å, b = 4.8509 Å, c = 8.8579 Å
α = 74.11°, β = 74.11°, γ = 60.00°
Last column: nearest neighbours and their distance in Å.
Sites, in units of the cell vectors:
1 Fe 0.9154 0.4202 0.2441  7 Fe 2.40-2.56
2 Fe 0.0846 0.5798 0.7559  7 Fe 2.40-2.56
3 Fe 0.4202 0.4202 0.2441  7 Fe 2.40-2.56
4 Fe 0.4202 0.9154 0.2441  7 Fe 2.40-2.56
5 Fe 0.5798 0.5798 0.7559  7 Fe 2.40-2.56
6 Np 0.1445 0.1445 0.5664  12 Fe 2.86-3.06, 3 Np 3.01
7 Fe 0.5798 0.0846 0.7559  7 Fe 2.40-2.56
8 Fe 0.6682 0.6682 0.9954  6 Fe 2.46-2.51
9 Fe 0.5000 0.5000 0.5000  6 Fe 2.56, 6 Np 2.86
10 Fe 0.3318 0.3318 0.0046  6 Fe 2.46-2.51
11 Sm 0.0000 0.0000 0.0000  6 Fe 2.80
12 Np 0.8555 0.8555 0.4336  12 Fe 2.86-3.06, 3 Np 3.01

Computed properties:
Its calculated total energy is -106.037 eV per formula unit. Its space group is R-3m (166). The value obtained for the energy of formation is 0.728 eV/f.u. The crystal system is trigonal.


- Which of these has the lowest calculated total energy?
  Np2Fe12Si7


What did the fifth record say?
# Np4FeSi8

A geometry-optimized Np4FeSi8 structure (PBE, the Alexandria database).

a = 3.8571 Å, b = 4.0916 Å, c = 14.7922 Å
α = 90.00°, β = 90.00°, γ = 90.00°
Last column: nearest neighbours and their distance in Å.
Sites, in units of the cell vectors:
1 Fe 0.0000 0.0000 0.3070  5 Si 2.23-2.32
2 Si 0.5000 0.0000 0.5623  2 Si 2.44
3 Si 0.5000 0.5000 0.0553  2 Si 2.56, 4 Np 2.86
4 Si 0.5000 0.5000 0.7591  4 Si 2.81, 4 Np 2.94-2.95
5 Np 0.0000 0.5000 0.6089  10 Si 2.89-2.99
6 Np 0.5000 0.0000 0.9031  10 Si 2.87-3.04
7 Si 0.0000 0.5000 0.9417  2 Si 2.56
8 Si 0.0000 0.0000 0.4611  1 Fe 2.28, 2 Si 2.44
9 Si 0.0000 0.0000 0.7542  4 Si 2.81, 4 Np 2.93-2.97
10 Si 0.0000 0.5000 0.2326  2 Fe 2.32
11 Np 0.5000 0.5000 0.3970  10 Si 2.97-3.20, 4 Fe 3.11
12 Np 0.0000 0.0000 0.0901  10 Si 2.84-3.00
13 Si 0.5000 0.0000 0.2306  2 Fe 2.23

Computed properties:
Its uncorrected formation energy is -215 kJ/mol of formula units. Its calculated total energy is -105.841 eV per formula unit. Its space group is Pmm2 (25). The crystal system is orthorhombic.